Density functional theory data (GGA-PBE) for a relaxed BeIr2Se crystal.

Results
- E_tot (eV for the cell shown) = -24.0
- space-group type = Imm2, No. 44
- total moment (μB/atom) = 0.000
- energy above the lowest structure with this stoichiometry (meV/atom) = 201
- theoretical density (Mg/m³) = 13.79
- raw formation energy (eV per atom) = 0.236

abc: 5.2487 5.2487 5.2487
angles: 147.82 131.86 59.10
With the nearest neighbours (Å) after each atom.
Fractional positions:
Ir 0.0192 0.0192 0.0000  2 Be 2.42, 4 Se 2.59
Ir 0.7397 0.2397 0.5000  2 Se 2.55, 4 Be 2.59
Se 0.5104 0.5104 0.0000  6 Ir 2.55-2.59
Be 0.2307 0.7307 0.5000  6 Ir 2.42-2.59